Entry 1:
IrBr5: relaxed, GGA-PBEsol.

POSCAR file:
```
IrBr5
1.0
4.931 0.000 0.000
-2.466 4.270 0.000
0.000 0.000 6.921
Ir Br
1 5
direct
0.000 0.000 0.000 Ir
0.000 0.666 0.500 Br
0.333 0.667 0.000 Br
0.334 0.334 0.500 Br
0.666 0.000 0.500 Br
0.667 0.333 0.000 Br
```

Computed properties:
DFT total energy   -13.917 eV for the cell shown
Raw formation energy   0.876 eV/atom
Calculated volume   24.3 Å³ per atom
Crystal system   hexagonal

Entry 2:
RbPPt2S: relaxed, GGA-PBEsol.

POSCAR file:
```
RbPPt2S
1.0
4.471 0.000 0.000
0.000 4.471 0.000
0.000 0.000 5.755
Rb P Pt S
1 1 2 1
direct
0.000 0.000 0.000 Rb
0.500 0.500 0.000 P
0.000 0.500 0.500 Pt
0.500 0.000 0.500 Pt
0.000 0.000 0.500 S
```

Computed properties:
DFT total energy   -21.789 eV for the cell shown
Raw formation energy   0.668 eV/atom
Calculated volume   23.0 Å³ per atom
Crystal system   tetragonal